DFT (PBE with a Hubbard U) results for a relaxed structure of CrIn3O.

Output
Polymorph energy (0 for the lowest one) (eV/atom): 0.0865
Calculated volume (A^3/atom): 29.5
Density (g/cm3): 4.7
D(E_F) (states/eV/atom): 0.3326

a b c (Å): 5.2807 5.2807 5.2807
angles (deg): 90.00 90.00 90.00
Closest atoms and distances in Å follow each position.
Fractional coordinates of all 5 atoms:
Cr  0.0000  0.0000  0.0000  6 In 2.64
In  0.0000  0.0000  0.5000  2 Cr 2.64
In  0.0000  0.5000  0.0000  2 Cr 2.64
In  0.5000  0.0000  0.0000  2 Cr 2.64
O  0.5000  0.5000  0.5000  12 In 3.73



DFT (PBE with a Hubbard U) results for a relaxed structure of CrIn2O.

Output
E (eV/atom): -4.726
Calculated volume (A^3/atom): 19.8
Density (g/cm3): 6.2
D(E_F) (states/eV/atom): 0.4646

a b c (Å): 6.9442 6.9442 6.5715
angles (deg): 90.00 90.00 90.00
Closest atoms and distances in Å follow each position.
Fractional coordinates of all 16 atoms:
Cr  0.0000  0.0000  0.0000  8 In 2.93-3.27
Cr  0.0000  0.5000  0.2500  8 In 2.93-3.27
Cr  0.5000  0.0000  0.7500  8 In 2.93-3.27
Cr  0.5000  0.5000  0.5000  8 In 2.93-3.27
In  0.1816  0.2500  0.6250  2 O 2.30
In  0.2500  0.6816  0.8750  2 O 2.30
In  0.2500  0.8184  0.3750  2 O 2.30
In  0.3184  0.2500  0.1250  2 O 2.30
In  0.6816  0.7500  0.1250  2 O 2.30
In  0.7500  0.1816  0.3750  2 O 2.30
In  0.7500  0.3184  0.8750  2 O 2.30
In  0.8184  0.7500  0.6250  2 O 2.30
O  0.0000  0.0000  0.5000  4 In 2.30
O  0.0000  0.5000  0.7500  4 In 2.30
O  0.5000  0.0000  0.2500  4 In 2.30
O  0.5000  0.5000  0.0000  4 In 2.30



DFT (PBE with a Hubbard U) results for a relaxed structure of Cr2InO4.

Output
Polymorph energy (0 for the lowest one) (eV/atom): 0.0000
Calculated volume (A^3/atom): 12.3
Density (g/cm3): 5.4
D(E_F) (states/eV/atom): 0.1522

a b c (Å): 6.2449 6.2449 6.2459
angles (deg): 119.95 119.95 90.03
Closest atoms and distances in Å follow each position.
Fractional coordinates of all 14 atoms:
Cr  0.0000  0.0000  0.0000  6 O 2.07
Cr  0.0000  0.0000  0.5000  6 O 2.07
Cr  0.0000  0.5000  0.0000  6 O 2.07
Cr  0.5000  0.0000  0.5000  6 O 2.07
In  0.3750  0.6250  0.7500  4 O 2.17
In  0.6250  0.3750  0.2500  4 O 2.17
O  0.2001  0.2335  0.9667  3 Cr 2.07, 1 In 2.17
O  0.2330  0.7659  0.4660  3 Cr 2.07, 1 In 2.17
O  0.2335  0.2001  0.4667  3 Cr 2.07, 1 In 2.17
O  0.2341  0.7670  0.0340  3 Cr 2.07, 1 In 2.17
O  0.7659  0.2330  0.9660  3 Cr 2.07, 1 In 2.17
O  0.7665  0.7999  0.5333  3 Cr 2.07, 1 In 2.17
O  0.7670  0.2341  0.5340  3 Cr 2.07, 1 In 2.17
O  0.7999  0.7665  0.0333  3 Cr 2.07, 1 In 2.17



DFT (PBE with a Hubbard U) results for a relaxed structure of CrIn3O.

Output
Polymorph energy (0 for the lowest one) (eV/atom): 0.0000
Calculated volume (A^3/atom): 19.9
Density (g/cm3): 6.9
D(E_F) (states/eV/atom): 0.8839

a b c (Å): 4.6338 4.6338 4.6338
angles (deg): 90.00 90.00 90.00
Closest atoms and distances in Å follow each position.
Fractional coordinates of all 5 atoms:
Cr  0.0000  0.0000  0.0000  12 In 3.28
In  0.0000  0.5000  0.5000  2 O 2.32
In  0.5000  0.0000  0.5000  2 O 2.32
In  0.5000  0.5000  0.0000  2 O 2.32
O  0.5000  0.5000  0.5000  6 In 2.32